## a
{
  "formula": "NaTc2PdPt",
  "functional": "PBE",
  "state": "relaxed",
  "space_group": "P4/mmm, No. 123",
  "n_ef_per_ev_cell": 5.77,
  "magmom_total_mub_per_atom": 1.315,
  "crystal_system": "tetragonal",
  "volume_a3_per_atom": 24.00,
  "lattice": [[4.881, 0.000, 0.000], [0.000, 4.881, 0.000], [0.000, 0.000, 5.038]],
  "species": ["Na", "Tc", "Tc", "Pd", "Pt"],
  "frac_coords": [[0.000, 0.000, 0.000], [0.000, 0.500, 0.500], [0.500, 0.000, 0.500], [0.500, 0.500, 0.500], [0.500, 0.500, 0.000]]
}

## b
{
  "formula": "NaTc2PdPt",
  "functional": "PBE",
  "state": "relaxed",
  "space_group": "P4/mmm, No. 123",
  "n_ef_per_ev_cell": 6.45,
  "magmom_total_mub_per_atom": 0.765,
  "crystal_system": "tetragonal",
  "volume_a3_per_atom": 18.28,
  "lattice": [[4.506, 0.000, 0.000], [0.000, 4.506, 0.000], [0.000, 0.000, 4.502]],
  "species": ["Na", "Tc", "Tc", "Pd", "Pt"],
  "frac_coords": [[0.000, 0.000, 0.000], [0.000, 0.500, 0.000], [0.500, 0.000, 0.000], [0.500, 0.500, 0.500], [0.000, 0.000, 0.500]]
}

What should be chosen as the least stable of them? Choose b.

## a
{
  "formula": "RbNa2SbPd",
  "functional": "PBE",
  "state": "relaxed",
  "space_group": "P4/mmm, No. 123",
  "n_ef_per_ev_cell": 1.68,
  "magmom_total_mub_per_atom": 0.000,
  "crystal_system": "tetragonal",
  "volume_a3_per_atom": 32.77,
  "lattice": [[5.656, 0.000, 0.000], [0.000, 5.656, 0.000], [0.000, 0.000, 5.121]],
  "species": ["Rb", "Na", "Na", "Sb", "Pd"],
  "frac_coords": [[0.000, 0.000, 0.000], [0.000, 0.500, 0.500], [0.500, 0.000, 0.500], [0.500, 0.500, 0.000], [0.500, 0.500, 0.500]]
}

## b
{
  "formula": "RbNa2SbPd",
  "functional": "PBE",
  "state": "relaxed",
  "space_group": "P4/mmm, No. 123",
  "n_ef_per_ev_cell": 0.81,
  "magmom_total_mub_per_atom": 0.000,
  "crystal_system": "tetragonal",
  "volume_a3_per_atom": 35.67,
  "lattice": [[5.864, 0.000, 0.000], [0.000, 5.864, 0.000], [0.000, 0.000, 5.188]],
  "species": ["Rb", "Na", "Na", "Sb", "Pd"],
  "frac_coords": [[0.000, 0.000, 0.000], [0.000, 0.500, 0.500], [0.500, 0.000, 0.500], [0.500, 0.500, 0.500], [0.500, 0.500, 0.000]]
}

What should be chosen as the least stable of them? Choose b.

## a
{
  "formula": "RbNa2SnPd",
  "functional": "PBE",
  "state": "relaxed",
  "space_group": "P4/mmm, No. 123",
  "n_ef_per_ev_cell": 2.63,
  "magmom_total_mub_per_atom": 0.000,
  "crystal_system": "tetragonal",
  "volume_a3_per_atom": 33.28,
  "lattice": [[5.685, 0.000, 0.000], [0.000, 5.685, 0.000], [0.000, 0.000, 5.150]],
  "species": ["Rb", "Na", "Na", "Sn", "Pd"],
  "frac_coords": [[0.000, 0.000, 0.000], [0.000, 0.500, 0.500], [0.500, 0.000, 0.500], [0.500, 0.500, 0.000], [0.500, 0.500, 0.500]]
}

## b
{
  "formula": "RbNa2SnPd",
  "functional": "PBE",
  "state": "relaxed",
  "space_group": "P4/mmm, No. 123",
  "n_ef_per_ev_cell": 2.96,
  "magmom_total_mub_per_atom": 0.000,
  "crystal_system": "tetragonal",
  "volume_a3_per_atom": 36.19,
  "lattice": [[5.924, 0.000, 0.000], [0.000, 5.924, 0.000], [0.000, 0.000, 5.156]],
  "species": ["Rb", "Na", "Na", "Sn", "Pd"],
  "frac_coords": [[0.000, 0.000, 0.000], [0.000, 0.500, 0.500], [0.500, 0.000, 0.500], [0.500, 0.500, 0.500], [0.500, 0.500, 0.000]]
}

What should be chosen as the least stable of them? Choose b.

## a
{
  "formula": "RbNaSr2Pd",
  "functional": "PBE",
  "state": "relaxed",
  "space_group": "P4/mmm, No. 123",
  "n_ef_per_ev_cell": 2.81,
  "magmom_total_mub_per_atom": 0.000,
  "crystal_system": "tetragonal",
  "volume_a3_per_atom": 45.49,
  "lattice": [[6.002, 0.000, 0.000], [0.000, 6.002, 0.000], [0.000, 0.000, 6.314]],
  "species": ["Rb", "Na", "Sr", "Sr", "Pd"],
  "frac_coords": [[0.000, 0.000, 0.000], [0.500, 0.500, 0.000], [0.000, 0.500, 0.500], [0.500, 0.000, 0.500], [0.500, 0.500, 0.500]]
}

## b
{
  "formula": "RbNaSr2Pd",
  "functional": "PBE",
  "state": "relaxed",
  "space_group": "P4/mmm, No. 123",
  "n_ef_per_ev_cell": 3.49,
  "magmom_total_mub_per_atom": 0.000,
  "crystal_system": "tetragonal",
  "volume_a3_per_atom": 48.50,
  "lattice": [[5.994, 0.000, 0.000], [0.000, 5.994, 0.000], [0.000, 0.000, 6.750]],
  "species": ["Rb", "Na", "Sr", "Sr", "Pd"],
  "frac_coords": [[0.000, 0.000, 0.000], [0.500, 0.500, 0.000], [0.000, 0.500, 0.500], [0.500, 0.000, 0.500], [0.000, 0.000, 0.500]]
}

What should be chosen as the least stable of them? Choose b.

## a
{
  "formula": "RbNa2TlPd",
  "functional": "PBE",
  "state": "relaxed",
  "space_group": "P4/mmm, No. 123",
  "n_ef_per_ev_cell": 3.49,
  "magmom_total_mub_per_atom": 0.000,
  "crystal_system": "tetragonal",
  "volume_a3_per_atom": 37.08,
  "lattice": [[5.901, 0.000, 0.000], [0.000, 5.901, 0.000], [0.000, 0.000, 5.323]],
  "species": ["Rb", "Na", "Na", "Tl", "Pd"],
  "frac_coords": [[0.000, 0.000, 0.000], [0.000, 0.500, 0.500], [0.500, 0.000, 0.500], [0.500, 0.500, 0.500], [0.500, 0.500, 0.000]]
}

## b
{
  "formula": "RbNa2TlPd",
  "functional": "PBE",
  "state": "relaxed",
  "space_group": "P4/mmm, No. 123",
  "n_ef_per_ev_cell": 2.22,
  "magmom_total_mub_per_atom": 0.000,
  "crystal_system": "tetragonal",
  "volume_a3_per_atom": 34.92,
  "lattice": [[5.715, 0.000, 0.000], [0.000, 5.715, 0.000], [0.000, 0.000, 5.345]],
  "species": ["Rb", "Na", "Na", "Tl", "Pd"],
  "frac_coords": [[0.000, 0.000, 0.000], [0.000, 0.500, 0.500], [0.500, 0.000, 0.500], [0.500, 0.500, 0.000], [0.500, 0.500, 0.500]]
}

What should be chosen as the least stable of them? Choose a.

## a
{
  "formula": "Rb2NaTlPd",
  "functional": "PBE",
  "state": "relaxed",
  "space_group": "P4/mmm, No. 123",
  "n_ef_per_ev_cell": 2.75,
  "magmom_total_mub_per_atom": 0.000,
  "crystal_system": "tetragonal",
  "volume_a3_per_atom": 44.95,
  "lattice": [[6.654, 0.000, 0.000], [0.000, 6.654, 0.000], [0.000, 0.000, 5.075]],
  "species": ["Rb", "Rb", "Na", "Tl", "Pd"],
  "frac_coords": [[0.000, 0.500, 0.000], [0.500, 0.000, 0.000], [0.000, 0.000, 0.000], [0.500, 0.500, 0.500], [0.000, 0.000, 0.500]]
}

## b
{
  "formula": "Rb2NaTlPd",
  "functional": "PBE",
  "state": "relaxed",
  "space_group": "P4/mmm, No. 123",
  "n_ef_per_ev_cell": 3.60,
  "magmom_total_mub_per_atom": 0.000,
  "crystal_system": "tetragonal",
  "volume_a3_per_atom": 46.08,
  "lattice": [[6.528, 0.000, 0.000], [0.000, 6.528, 0.000], [0.000, 0.000, 5.406]],
  "species": ["Rb", "Rb", "Na", "Tl", "Pd"],
  "frac_coords": [[0.000, 0.500, 0.000], [0.500, 0.000, 0.000], [0.000, 0.000, 0.500], [0.500, 0.500, 0.500], [0.500, 0.500, 0.000]]
}

What should be chosen as the least stable of them? Choose a.